Record 1
# Ac2TiSi3Pt4 (PBE, optimized geometry)
data_Ac2TiSi3Pt4
_cell_length_a 4.410
_cell_length_b 4.410
_cell_length_c 10.141
_cell_angle_alpha 90.00
_cell_angle_beta 90.00
_cell_angle_gamma 90.00
_space_group_name_H-M_alt 'P -4 m 2'
_space_group_IT_number 115
_space_group_name_Hall 'P -4 -2'
loop_
_atom_site_label
_atom_site_type_symbol
_atom_site_fract_x
_atom_site_fract_y
_atom_site_fract_z
Ac1 Ac 0.000 0.500 0.247
Ti1 Ti 0.000 0.000 0.500
Si1 Si 0.000 0.500 0.877
Si2 Si 0.500 0.500 0.500
Pt1 Pt 0.000 0.000 0.000
Pt2 Pt 0.000 0.500 0.632
Pt3 Pt 0.500 0.500 0.000
# V, Å³/atom: 19.7
# D(E_F), states/eV/f.u.: 5.7
# Raw formation energy, eV per atom: -1.0251
# Uncorrected energy, eV per cell: -66.795

=====

Record 2
# Rb2HfSbSe4 (PBE, optimized geometry)
data_Rb2HfSbSe4
_cell_length_a 7.340
_cell_length_b 14.133
_cell_length_c 24.137
_cell_angle_alpha 90.00
_cell_angle_beta 90.00
_cell_angle_gamma 90.00
_space_group_name_H-M_alt 'F d d d'
_space_group_IT_number 70
loop_
_space_group_symop_operation_xyz
'x,y,z'
'-x,-y,-z'
'-x+1/4,-y+1/4,z'
'x+1/4,y+1/4,-z'
'x,-y+1/4,-z+1/4'
'-x,y+1/4,z+1/4'
'-x+1/4,y,-z+1/4'
'x+1/4,-y,z+1/4'
'x,y+1/2,z+1/2'
'-x,-y+1/2,-z+1/2'
'-x+1/4,-y+3/4,z+1/2'
'x+1/4,y+3/4,-z+1/2'
'x,-y+3/4,-z+3/4'
'-x,y+3/4,z+3/4'
'-x+1/4,y+1/2,-z+3/4'
'x+1/4,-y+1/2,z+3/4'
'x+1/2,y,z+1/2'
'-x+1/2,-y,-z+1/2'
'-x+3/4,-y+1/4,z+1/2'
'x+3/4,y+1/4,-z+1/2'
'x+1/2,-y+1/4,-z+3/4'
'-x+1/2,y+1/4,z+3/4'
'-x+3/4,y,-z+3/4'
'x+3/4,-y,z+3/4'
'x+1/2,y+1/2,z'
'-x+1/2,-y+1/2,-z'
'-x+3/4,-y+3/4,z'
'x+3/4,y+3/4,-z'
'x+1/2,-y+3/4,-z+1/4'
'-x+1/2,y+3/4,z+1/4'
'-x+3/4,y+1/2,-z+1/4'
'x+3/4,-y+1/2,z+1/4'
loop_
_atom_site_label
_atom_site_type_symbol
_atom_site_fract_x
_atom_site_fract_y
_atom_site_fract_z
Rb1 Rb 0.125 0.125 0.309
Hf1 Hf 0.125 0.125 0.125
Sb1 Sb 0.125 0.125 0.625
Se1 Se 0.083 0.279 0.435
# V, Å³/atom: 39.1
# D(E_F), states/eV/f.u.: 3.3
# Raw formation energy, eV per atom: -0.8729
# Uncorrected energy, eV per cell: -295.459

=====

Record 3
# Er6C2NO2 (PBE, optimized geometry)
data_Er6C2NO2
_cell_length_a 6.046
_cell_length_b 10.436
_cell_length_c 6.002
_cell_angle_alpha 90.00
_cell_angle_beta 109.76
_cell_angle_gamma 90.00
_space_group_name_H-M_alt 'C 1 2/m 1'
_space_group_IT_number 12
_space_group_name_Hall '-C 2y'
loop_
_atom_site_label
_atom_site_type_symbol
_atom_site_fract_x
_atom_site_fract_y
_atom_site_fract_z
Er1 Er 0.242 0.000 0.267
Er2 Er 0.243 0.171 0.741
C1 C 0.000 0.333 0.500
N1 N 0.000 0.000 0.500
O1 O 0.000 0.168 0.000
# V, Å³/atom: 16.2
# D(E_F), states/eV/f.u.: 2.3
# Raw formation energy, eV per atom: -1.6324
# Uncorrected energy, eV per cell: -164.047

=====

Record 4
# LaScCuNi (PBE, optimized geometry)
data_LaScCuNi
_cell_length_a 6.858
_cell_length_b 6.858
_cell_length_c 6.858
_cell_angle_alpha 90.00
_cell_angle_beta 90.00
_cell_angle_gamma 90.00
_space_group_name_H-M_alt 'F -4 3 m'
_space_group_IT_number 216
_space_group_name_Hall 'F -4 2 3'
loop_
_atom_site_label
_atom_site_type_symbol
_atom_site_fract_x
_atom_site_fract_y
_atom_site_fract_z
La1 La 0.000 0.000 0.000
Sc1 Sc 0.000 0.000 0.500
Cu1 Cu 0.250 0.250 0.750
Ni1 Ni 0.250 0.250 0.250
# V, Å³/atom: 20.2
# ΔH_f (0 K), eV per atom: -0.206
# D(E_F), states/eV/f.u.: 2.2
# Uncorrected energy, eV per cell: -87.846